1.
A relaxed ReGe3P crystal, computed with PBE.

a = 4.626 Å, b = 4.626 Å, c = 4.626 Å
α = 90.00°, β = 90.00°, γ = 90.00°
Space group Pm-3m (No. 221)
Symmetry-distinct sites (fractional):
Re (0.000, 0.000, 0.000) (multiplicity 1)
Ge (0.000, 0.500, 0.500) (multiplicity 3)
P (0.500, 0.500, 0.500) (multiplicity 1)

Computed properties:
Energy relative to the lowest polymorph listed for this composition = 0.684 eV per atom
Total moment = 0.462 μB per atom
VASP energy = -24.9 eV/f.u.



2.
A relaxed ReGeP crystal, computed with PBE.

a = 12.185 Å, b = 2.960 Å, c = 6.602 Å
α = 90.00°, β = 119.75°, γ = 90.00°
Space group C2/m (No. 12)
Symmetry-distinct sites (fractional):
Re (0.242, 0.000, 0.312) (multiplicity 4)
Ge (0.138, 0.000, 0.852) (multiplicity 4)
P (0.086, 0.500, 0.305) (multiplicity 4)

Computed properties:
Total moment = 0.000 μB per atom
VASP energy = -22.6 eV/f.u.



3.
A relaxed Re3GeP crystal, computed with PBE.

a = 4.413 Å, b = 4.413 Å, c = 4.413 Å
α = 90.00°, β = 90.00°, γ = 90.00°
Space group Pm-3m (No. 221)
Symmetry-distinct sites (fractional):
Re (0.000, 0.000, 0.500) (multiplicity 3)
Ge (0.500, 0.500, 0.500) (multiplicity 1)
P (0.000, 0.000, 0.000) (multiplicity 1)

Computed properties:
Energy relative to the lowest polymorph listed for this composition = 0.000 eV per atom
Total moment = 0.384 μB per atom
VASP energy = -41.9 eV/f.u.



4.
A relaxed ReGe3P crystal, computed with PBE.

a = 4.840 Å, b = 4.840 Å, c = 4.840 Å
α = 90.00°, β = 90.00°, γ = 90.00°
Space group Pm-3m (No. 221)
Symmetry-distinct sites (fractional):
Re (0.000, 0.000, 0.000) (multiplicity 1)
Ge (0.000, 0.000, 0.500) (multiplicity 3)
P (0.500, 0.500, 0.500) (multiplicity 1)

Computed properties:
Energy relative to the lowest polymorph listed for this composition = 0.000 eV per atom
Total moment = 0.379 μB per atom
VASP energy = -28.3 eV/f.u.



5.
A relaxed Re2Ge2P crystal, computed with PBE.

a = 7.368 Å, b = 7.368 Å, c = 2.900 Å
α = 90.00°, β = 90.00°, γ = 90.00°
Space group P4/mbm (No. 127)
Symmetry-distinct sites (fractional):
Re (0.152, 0.348, 0.000) (multiplicity 4)
Ge (0.144, 0.644, 0.500) (multiplicity 4)
P (0.000, 0.000, 0.500) (multiplicity 2)

Computed properties:
Energy relative to the lowest polymorph listed for this composition = 0.000 eV per atom
Total moment = 0.000 μB per atom
VASP energy = -36.0 eV/f.u.



6.
A relaxed ReGe2P crystal, computed with PBE.

a = 5.686 Å, b = 5.686 Å, c = 10.888 Å
α = 90.00°, β = 90.00°, γ = 90.00°
Space group I-42d (No. 122)
Symmetry-distinct sites (fractional):
Re (0.000, 0.000, 0.000) (multiplicity 4)
Ge (0.249, 0.250, 0.625) (multiplicity 8)
P (0.000, 0.000, 0.500) (multiplicity 4)

Computed properties:
Total moment = 0.000 μB per atom
VASP energy = -24.3 eV/f.u.



no.,density (g cm⁻³),Fermi-level density of states (states/eV per cell),formation energy from the elements (meV/atom)
1,7.30,4.25,1366
2,9.31,6.20,-28
3,12.80,6.25,1095
4,6.37,2.63,682
5,11.57,6.73,699
6,6.84,9.18,693